one.
Compound: LiZrCd3
Source: Alexandria
Functional: GGA-PBE
Structure: relaxed

Space group   Pm-3m (221)
Size of the total moment   1.3 μB/cell

Cell lengths 5.649, 5.649, 5.649 Å; angles 90.00, 90.00, 90.00 degrees
Fractional coordinates of all 5 atoms:
Li: 0.000 0.000 0.000
Zr: 0.500 0.500 0.500
Cd: 0.000 0.500 0.500
Cd: 0.500 0.000 0.500
Cd: 0.500 0.500 0.000

=====

two.
Compound: LiZrCd3
Source: Alexandria
Functional: GGA-PBE
Structure: relaxed

Space group   Pm-3m (221)
Size of the total moment   0.0 μB/cell

Cell lengths 4.660, 4.660, 4.660 Å; angles 90.00, 90.00, 90.00 degrees
Fractional coordinates of all 5 atoms:
Li: 0.000 0.000 0.000
Zr: 0.500 0.500 0.500
Cd: 0.000 0.000 0.500
Cd: 0.000 0.500 0.000
Cd: 0.500 0.000 0.000

=====

Most stable structure - two; separation to the second - 504 meV/atom.

=====

one.
Compound: LiZrCd4
Source: Alexandria
Functional: GGA-PBE
Structure: relaxed

Space group   P2/m (10)
Size of the total moment   0.0 μB/cell

Cell lengths 3.033, 4.894, 8.548 Å; angles 90.00, 90.54, 90.00 degrees
Fractional coordinates of all 6 atoms:
Li: 0.000 0.000 0.000
Zr: 0.000 0.500 0.500
Cd: 0.486 0.500 0.163
Cd: 0.495 0.000 0.332
Cd: 0.505 0.000 0.668
Cd: 0.514 0.500 0.837

=====

two.
Compound: LiZrCd4
Source: Alexandria
Functional: GGA-PBE
Structure: relaxed

Space group   F-43m (216)
Size of the total moment   0.0 μB/cell

Cell lengths 5.713, 5.713, 5.713 Å; angles 60.00, 60.00, 60.00 degrees
Fractional coordinates of all 6 atoms:
Li: 0.000 0.000 0.000
Zr: 0.750 0.750 0.750
Cd: 0.375 0.375 0.375
Cd: 0.375 0.375 0.874
Cd: 0.375 0.874 0.375
Cd: 0.874 0.375 0.375

=====

Most stable structure - one; separation to the second - 205 meV/atom.

=====

one.
Compound: LuMgCd2
Source: Alexandria
Functional: GGA-PBE
Structure: relaxed

Space group   P4/mmm (123)
Size of the total moment   0.0 μB/cell

Cell lengths 3.489, 3.489, 7.559 Å; angles 90.00, 90.00, 90.00 degrees
Fractional coordinates of all 4 atoms:
Lu: 0.000 0.000 0.000
Mg: 0.000 0.000 0.500
Cd: 0.500 0.500 0.266
Cd: 0.500 0.500 0.734

=====

two.
Compound: LuMgCd2
Source: Alexandria
Functional: GGA-PBE
Structure: relaxed

Space group   P4/mmm (123)
Size of the total moment   0.0 μB/cell

Cell lengths 4.993, 4.993, 3.730 Å; angles 90.00, 90.00, 90.00 degrees
Fractional coordinates of all 4 atoms:
Lu: 0.000 0.000 0.000
Mg: 0.500 0.500 0.000
Cd: 0.000 0.500 0.500
Cd: 0.500 0.000 0.500

=====

three.
Compound: LuMgCd2
Source: Alexandria
Functional: GGA-PBE
Structure: relaxed

Space group   Fm-3m (225)
Size of the total moment   0.0 μB/cell

Cell lengths 5.039, 5.039, 5.039 Å; angles 60.00, 60.00, 60.00 degrees
Fractional coordinates of all 4 atoms:
Lu: 0.000 0.000 0.000
Mg: 0.500 0.500 0.500
Cd: 0.250 0.250 0.250
Cd: 0.750 0.750 0.750

=====

Most stable structure - three; separation to the second - 35 meV/atom.

=====

one.
Compound: NaLuCd2
Source: Alexandria
Functional: GGA-PBE
Structure: relaxed

Space group   P4/mmm (123)
Size of the total moment   0.0 μB/cell

Cell lengths 5.389, 5.389, 3.437 Å; angles 90.00, 90.00, 90.00 degrees
Fractional coordinates of all 4 atoms:
Na: 0.000 0.000 0.000
Lu: 0.500 0.500 0.000
Cd: 0.000 0.500 0.500
Cd: 0.500 0.000 0.500

=====

two.
Compound: NaLuCd2
Source: Alexandria
Functional: GGA-PBE
Structure: relaxed

Space group   Fm-3m (225)
Size of the total moment   0.0 μB/cell

Cell lengths 5.176, 5.176, 5.176 Å; angles 60.00, 60.00, 60.00 degrees
Fractional coordinates of all 4 atoms:
Na: 0.000 0.000 0.000
Lu: 0.500 0.500 0.500
Cd: 0.250 0.250 0.250
Cd: 0.750 0.750 0.750

=====

three.
Compound: NaLuCd2
Source: Alexandria
Functional: GGA-PBE
Structure: relaxed

Space group   R-3m (166)
Size of the total moment   0.0 μB/cell

Cell lengths 10.358, 10.358, 10.358 Å; angles 19.37, 19.37, 19.37 degrees
Fractional coordinates of all 4 atoms:
Na: 0.000 0.000 0.000
Lu: 0.500 0.500 0.500
Cd: 0.247 0.247 0.247
Cd: 0.753 0.753 0.753

=====

Most stable structure - one; separation to the second - 71 meV/atom.